1.
{"formula": "Li2Zn2Hg", "functional": "PBE", "state": "relaxed", "energy_ev_per_atom": -1.330, "e_above_lowest_polymorph_kj_per_mol_atoms": 21.5, "m_tot_mub_per_fu": 0.000, "lattice": [[-1.9062, 1.9062, 6.4389], [1.9062, -1.9062, 6.4389], [1.9062, 1.9062, -6.4389]], "species": ["Li", "Li", "Zn", "Zn", "Hg"], "fractional_positions": [[0.2500, 0.7500, 0.5000], [0.7500, 0.2500, 0.5000], [0.1014, 0.1014, 0.0000], [0.8986, 0.8986, 0.0000], [0.5000, 0.5000, 0.0000]]}

---

2.
{"formula": "SmY3Al", "functional": "PBE", "state": "relaxed", "energy_ev_per_atom": -5.720, "e_above_lowest_polymorph_kj_per_mol_atoms": 0.0, "m_tot_mub_per_fu": 0.000, "lattice": [[9.5713, -1.8373, 0.0000], [9.5713, 1.8373, 0.0000], [-2.1753, 0.0000, 8.3736]], "species": ["Sm", "Sm", "Y", "Y", "Y", "Y", "Y", "Y", "Al", "Al"], "fractional_positions": [[0.1008, 0.1008, 0.0502], [0.8992, 0.8992, 0.9498], [0.3020, 0.3020, 0.1892], [0.3162, 0.3162, 0.6135], [0.4993, 0.4993, 0.2865], [0.5007, 0.5007, 0.7135], [0.6838, 0.6838, 0.3865], [0.6980, 0.6980, 0.8108], [0.0953, 0.0953, 0.5578], [0.9047, 0.9047, 0.4422]]}

---

Q: Which formula does entry 2 have?
A: SmY3Al

---

What did the first record say?
{"formula": "Li2Zn2Hg", "functional": "PBE", "state": "relaxed", "energy_ev_per_atom": -1.330, "e_above_lowest_polymorph_kj_per_mol_atoms": 21.5, "m_tot_mub_per_fu": 0.000, "lattice": [[-1.9062, 1.9062, 6.4389], [1.9062, -1.9062, 6.4389], [1.9062, 1.9062, -6.4389]], "species": ["Li", "Li", "Zn", "Zn", "Hg"], "fractional_positions": [[0.2500, 0.7500, 0.5000], [0.7500, 0.2500, 0.5000], [0.1014, 0.1014, 0.0000], [0.8986, 0.8986, 0.0000], [0.5000, 0.5000, 0.0000]]}